The following is a PBE calculation of CeEuLu2 after structural relaxation, from the Alexandria database.

Cell lengths 5.744, 5.744, 3.896 Å; angles 90.00, 90.00, 90.00 degrees
Atoms (fractional coordinates):
Ce 0.000 0.000 0.000
Eu 0.500 0.500 0.000
Lu 0.000 0.500 0.500
Lu 0.500 0.000 0.500

Calculated values
DOS(E_F), states/eV/cell: 9.0
Formation energy from the elements, eV/atom: 0.1835
Volume, Å³/cell: 128.5
Crystal system: tetragonal
Total magnetization, μB/f.u.: 6.1
Symmetry: No. 123